Compound: Nd2GaNi3
Source: the Alexandria database
Functional: GGA-PBE
Structure: optimized geometry

Results
Distance to the lowest polymorph of the same formula = 0 meV/atom
ΔH_f (0 K) = -0.41 eV/atom
Total magnetic moment = 0.3 μB per cell
SG = No. 194

a b c (Å): 4.131 4.131 15.935
angles (deg): 90.00 90.00 120.00
Fractional positions:
Nd1 0.000 0.000 0.120
Nd2 0.000 0.000 0.380
Nd3 0.000 0.000 0.620
Nd4 0.000 0.000 0.880
Ga1 0.333 0.667 0.250
Ga2 0.667 0.333 0.750
Ni1 0.333 0.667 0.001
Ni2 0.333 0.667 0.499
Ni3 0.333 0.667 0.750
Ni4 0.667 0.333 0.250
Ni5 0.667 0.333 0.501
Ni6 0.667 0.333 0.999